Entry 1:
## Ba2Hg2As3 (PBE-GGA)

Data for a relaxed structure of Ba2Hg2As3.

Output
Spin magnetization (μB/atom): 0.00
DFT formation energy (meV/atom): -658

abc: 17.519 4.667 12.995
angles: 90.00 127.42 90.00
Space group C2/m (No. 12)
Asymmetric unit:
1 Ba 0.102 0.000 0.443
2 Ba 0.232 0.000 0.835
3 Hg 0.046 0.500 0.816
4 Hg 0.105 0.000 0.162
5 As 0.074 0.500 0.614
6 As 0.116 0.000 0.961
7 As 0.154 0.500 0.303

Entry 2:
## BaHg2As (PBE-GGA)

Data for a relaxed structure of BaHg2As.

Output
Spin magnetization (μB/atom): 0.00
DFT formation energy (meV/atom): -421

abc: 4.854 4.854 9.976
angles: 90.00 90.00 90.00
Space group I4/mmm (No. 139)
Asymmetric unit:
1 Ba 0.000 0.000 0.000
2 Hg 0.000 0.500 0.250
3 As 0.000 0.000 0.500

Entry 3:
## Ba2HgAs (PBE-GGA)

Data for a relaxed structure of Ba2HgAs.

Output
ΔE to the lowest computed polymorph (kJ per mole of atoms): 1.8
Spin magnetization (μB/atom): 0.00
DFT formation energy (meV/atom): -788

abc: 8.344 4.814 8.842
angles: 90.00 108.21 90.00
Space group C2/m (No. 12)
Asymmetric unit:
1 Ba 0.235 0.000 0.206
2 Hg 0.000 0.000 0.500
3 As 0.000 0.500 0.000